# 1
ZnMo2Au: relaxed, PBE-GGA.

Calculated values
total energy = -6.37 eV/atom
ΔE_f = 0.1875 eV per atom
calculated density = 11.78 g/cm3
N(E_F) = 2.315 states/eV/f.u.

Unit cell a=9.317 b=2.683 c=5.146 alpha=90.00 beta=95.33 gamma=90.00
Space group Cm (No. 8)
Asymmetric unit:
1 Zn 0.000 0.000 0.000 (multiplicity 2)
2 Mo 0.007 0.500 0.484 (multiplicity 2)
3 Mo 0.248 0.500 0.268 (multiplicity 2)
4 Au 0.251 0.000 0.774 (multiplicity 2)

***

# 2
Nd4ThMg: relaxed, PBE-GGA.

Calculated values
total energy = -4.68 eV/atom
ΔE_f = -0.0030 eV per atom
calculated density = 7.02 g/cm3
N(E_F) = 7.177 states/eV/f.u.

Unit cell a=3.638 b=3.638 c=14.902 alpha=90.00 beta=90.00 gamma=90.00
Space group P4/mmm (No. 123)
Asymmetric unit:
1 Nd 0.000 0.000 0.151 (multiplicity 2)
2 Nd 0.500 0.500 0.332 (multiplicity 2)
3 Th 0.000 0.000 0.500 (multiplicity 1)
4 Mg 0.500 0.500 0.000 (multiplicity 1)

***

# 3
PrYAg2: relaxed, PBE-GGA.

Calculated values
total energy = -4.51 eV/atom
ΔE_f = -0.2722 eV per atom
calculated density = 7.17 g/cm3
N(E_F) = 4.322 states/eV/f.u.

Unit cell a=7.444 b=7.444 c=7.444 alpha=90.00 beta=90.00 gamma=90.00
Space group Fm-3m (No. 225)
Asymmetric unit:
1 Pr 0.000 0.000 0.000 (multiplicity 4)
2 Y 0.000 0.000 0.500 (multiplicity 4)
3 Ag 0.250 0.250 0.250 (multiplicity 8)

***

# 4
YOsPb2O6: relaxed, PBE-GGA.

Calculated values
total energy = -7.14 eV/atom
calculated density = 9.09 g/cm3
formation energy (no corrections) = -1.6578 eV/atom
N(E_F) = 2.091 states/eV/f.u.

Unit cell a=5.889 b=5.895 c=10.156 alpha=90.00 beta=125.07 gamma=90.00
Space group P2_1/c (No. 14)
Asymmetric unit:
1 Y 0.000 0.000 0.000 (multiplicity 2)
2 Os 0.500 0.000 0.500 (multiplicity 2)
3 Pb 0.261 0.026 0.752 (multiplicity 4)
4 O 0.192 0.015 0.268 (multiplicity 4)
5 O 0.277 0.703 0.041 (multiplicity 4)
6 O 0.342 0.232 0.040 (multiplicity 4)

***

# 5
LaSe2N: relaxed, PBE-GGA.

Calculated values
total energy = -5.00 eV/atom
calculated density = 5.15 g/cm3
formation energy (no corrections) = 0.0595 eV/atom
N(E_F) = 1.538 states/eV/f.u.

Unit cell a=5.522 b=5.522 c=13.152 alpha=90.00 beta=90.00 gamma=90.00
Space group I-42d (No. 122)
Asymmetric unit:
1 La 0.000 0.000 0.000 (multiplicity 4)
2 Se 0.129 0.250 0.625 (multiplicity 8)
3 N 0.000 0.000 0.500 (multiplicity 4)

***

# 6
TaIrBr2: relaxed, PBE-GGA.

Calculated values
total energy = -5.27 eV/atom
calculated density = 11.01 g/cm3
formation energy (no corrections) = 0.7478 eV/atom
N(E_F) = 3.879 states/eV/f.u.

Unit cell a=4.196 b=4.534 c=4.226 alpha=90.00 beta=91.31 gamma=90.00
Space group P2/m (No. 10)
Asymmetric unit:
1 Ta 0.000 0.000 0.000 (multiplicity 1)
2 Ir 0.500 0.000 0.500 (multiplicity 1)
3 Br 0.239 0.500 0.760 (multiplicity 2)

***

# 7
TlReRuPt2: relaxed, PBE-GGA.

Calculated values
total energy = -6.15 eV/atom
ΔE_f = 1.0874 eV per atom
calculated density = 12.88 g/cm3
N(E_F) = 4.790 states/eV/f.u.

Unit cell a=4.935 b=4.935 c=4.670 alpha=90.00 beta=90.00 gamma=90.00
Space group P4/mmm (No. 123)
Asymmetric unit:
1 Tl 0.000 0.000 0.000 (multiplicity 1)
2 Re 0.500 0.500 0.500 (multiplicity 1)
3 Ru 0.500 0.500 0.000 (multiplicity 1)
4 Pt 0.000 0.500 0.500 (multiplicity 2)

***

# 8
Li2Ag2Pb: relaxed, PBE-GGA.

Calculated values
total energy = -2.81 eV/atom
ΔE_f = -0.1668 eV per atom
calculated density = 7.62 g/cm3
N(E_F) = 1.327 states/eV/f.u.

Unit cell a=3.131 b=4.581 c=7.187 alpha=108.54 beta=102.22 gamma=90.31
Space group P-1 (No. 2)
Asymmetric unit:
1 Li 0.104 0.103 0.208 (multiplicity 2)
2 Ag 0.218 0.717 0.434 (multiplicity 2)
3 Pb 0.500 0.500 0.000 (multiplicity 1)

***

# 9
CsCdPb6: relaxed, PBE-GGA.

Calculated values
total energy = -3.05 eV/atom
ΔE_f = -0.0473 eV per atom
calculated density = 8.41 g/cm3
N(E_F) = 4.500 states/eV/f.u.

Unit cell a=5.178 b=5.178 c=10.966 alpha=90.00 beta=90.00 gamma=90.00
Space group P4/mmm (No. 123)
Asymmetric unit:
1 Cs 0.000 0.000 0.000 (multiplicity 1)
2 Cd 0.000 0.000 0.500 (multiplicity 1)
3 Pb 0.000 0.500 0.330 (multiplicity 4)
4 Pb 0.500 0.500 0.153 (multiplicity 2)

***

# 10
Th8BTe4C3: relaxed, PBE-GGA.

Calculated values
total energy = -7.44 eV/atom
calculated density = 9.90 g/cm3
formation energy (no corrections) = -0.8016 eV/atom
N(E_F) = 7.106 states/eV/f.u.

Unit cell a=7.9241 b=7.9241 c=22.3440 alpha=90.00 beta=90.00 gamma=120.00
Space group R-3m (No. 166, hexagonal axes)
Asymmetric unit:
1 Th 0.0000 0.0000 0.2284 (multiplicity 6)
2 Th 0.0055 0.5028 0.7712 (multiplicity 18)
3 B 0.0000 0.0000 0.5000 (multiplicity 3)
4 Te 0.0000 0.0000 0.0000 (multiplicity 3)
5 Te 0.0000 0.5000 0.0000 (multiplicity 9)
6 C 0.0000 0.5000 0.5000 (multiplicity 9)

***

# 11
OsSeN2F: relaxed, PBE-GGA.

Calculated values
total energy = -6.17 eV/atom
calculated density = 7.07 g/cm3
formation energy (no corrections) = 0.4736 eV/atom
N(E_F) = 2.353 states/eV/f.u.

Unit cell a=3.736 b=3.736 c=5.323 alpha=90.00 beta=90.00 gamma=90.00
Space group P4/mmm (No. 123)
Asymmetric unit:
1 Os 0.000 0.000 0.000 (multiplicity 1)
2 Se 0.000 0.000 0.500 (multiplicity 1)
3 N 0.000 0.500 0.000 (multiplicity 2)
4 F 0.500 0.500 0.500 (multiplicity 1)

***

# 12
CrCuMo2: relaxed, PBE-GGA.

Calculated values
total energy = -8.60 eV/atom
ΔE_f = 0.2486 eV per atom
calculated density = 9.08 g/cm3
N(E_F) = 3.608 states/eV/f.u.

Unit cell a=2.603 b=4.148 c=5.352 alpha=90.00 beta=103.15 gamma=90.00
Space group P2/m (No. 10)
Asymmetric unit:
1 Cr 0.000 0.000 0.000 (multiplicity 1)
2 Cu 0.000 0.000 0.500 (multiplicity 1)
3 Mo 0.469 0.500 0.241 (multiplicity 2)

***

# 13
AgPCl: relaxed, PBE-GGA.

Calculated values
total energy = -2.40 eV/atom
calculated density = 4.29 g/cm3
formation energy (no corrections) = 0.9658 eV/atom
N(E_F) = 2.951 states/eV/f.u.

Unit cell a=6.462 b=6.462 c=6.462 alpha=90.00 beta=90.00 gamma=90.00
Space group F-43m (No. 216)
Asymmetric unit:
1 Ag 0.000 0.000 0.000 (multiplicity 4)
2 P 0.000 0.000 0.500 (multiplicity 4)
3 Cl 0.250 0.250 0.750 (multiplicity 4)

***

# 14
LiAc6Mg5: relaxed, PBE-GGA.

Calculated values
total energy = -2.94 eV/atom
ΔE_f = -0.0621 eV per atom
calculated density = 5.93 g/cm3
N(E_F) = 11.586 states/eV/f.u.

Unit cell a=5.809 b=8.249 c=9.175 alpha=90.00 beta=108.40 gamma=90.00
Space group P2/m (No. 10)
Asymmetric unit:
1 Li 0.000 0.000 0.000 (multiplicity 1)
2 Ac 0.166 0.252 0.333 (multiplicity 4)
3 Ac 0.500 0.251 0.000 (multiplicity 2)
4 Mg 0.000 0.500 0.000 (multiplicity 1)
5 Mg 0.332 0.000 0.664 (multiplicity 2)
6 Mg 0.333 0.500 0.666 (multiplicity 2)

***

# 15
CeNpInO6: relaxed, PBE-GGA.

Calculated values
total energy = -8.33 eV/atom
calculated density = 7.24 g/cm3
formation energy (no corrections) = -2.6182 eV/atom
N(E_F) = 8.632 states/eV/f.u.

Unit cell a=5.5707 b=5.5707 c=10.0420 alpha=90.00 beta=90.00 gamma=120.00
Space group P-31c (No. 163)
Asymmetric unit:
1 Ce 0.0000 0.0000 0.0000 (multiplicity 2)
2 Np 0.3333 0.6667 0.2500 (multiplicity 2)
3 In 0.3333 0.6667 0.7500 (multiplicity 2)
4 O 0.0120 0.3499 0.1345 (multiplicity 12)

***

# 16
LiMgMn: relaxed, PBE-GGA.

Calculated values
total energy = -3.96 eV/atom
ΔE_f = 0.2641 eV per atom
calculated density = 2.76 g/cm3
N(E_F) = 2.044 states/eV/f.u.

Unit cell a=4.6432 b=4.6432 c=2.7741 alpha=90.00 beta=90.00 gamma=120.00
Space group P3m1 (No. 156)
Asymmetric unit:
1 Li 0.0000 0.0000 0.0000 (multiplicity 1)
2 Mg 0.3333 0.6667 0.3149 (multiplicity 1)
3 Mn 0.6667 0.3333 0.7461 (multiplicity 1)

***

# 17
AcDy2Th: relaxed, PBE-GGA.

Calculated values
total energy = -5.14 eV/atom
ΔE_f = 0.0399 eV per atom
calculated density = 9.37 g/cm3
N(E_F) = 4.184 states/eV/f.u.

Unit cell a=3.689 b=3.689 c=10.209 alpha=90.00 beta=90.00 gamma=90.00
Space group P4/mmm (No. 123)
Asymmetric unit:
1 Ac 0.000 0.000 0.000 (multiplicity 1)
2 Dy 0.500 0.500 0.270 (multiplicity 2)
3 Th 0.000 0.000 0.500 (multiplicity 1)

***

# 18
ScCo2Se: relaxed, PBE-GGA.

Calculated values
total energy = -6.17 eV/atom
calculated density = 6.40 g/cm3
formation energy (no corrections) = -0.1596 eV/atom
N(E_F) = 2.970 states/eV/f.u.

Unit cell a=3.848 b=3.848 c=16.948 alpha=90.00 beta=90.00 gamma=90.00
Space group I-42d (No. 122)
Asymmetric unit:
1 Sc 0.000 0.000 0.000 (multiplicity 4)
2 Co 0.189 0.250 0.625 (multiplicity 8)
3 Se 0.000 0.000 0.500 (multiplicity 4)

***

# 19
Mg3ReNi: relaxed, PBE-GGA.

Calculated values
total energy = -3.19 eV/atom
ΔE_f = 1.4136 eV per atom
calculated density = 4.18 g/cm3
N(E_F) = 4.698 states/eV/f.u.

Unit cell a=5.018 b=5.018 c=5.018 alpha=90.00 beta=90.00 gamma=90.00
Space group Pm-3m (No. 221)
Asymmetric unit:
1 Mg 0.000 0.000 0.500 (multiplicity 3)
2 Re 0.000 0.000 0.000 (multiplicity 1)
3 Ni 0.500 0.500 0.500 (multiplicity 1)

***

# 20
Ca2AcSe4: relaxed, PBE-GGA.

Calculated values
total energy = -4.90 eV/atom
calculated density = 5.04 g/cm3
formation energy (no corrections) = -1.7450 eV/atom
N(E_F) = 3.636 states/eV/f.u.

Unit cell a=4.331 b=14.423 c=13.139 alpha=90.00 beta=90.00 gamma=90.00
Space group Cmcm (No. 63)
Asymmetric unit:
1 Ca 0.000 0.128 0.061 (multiplicity 8)
2 Ac 0.000 0.394 0.250 (multiplicity 4)
3 Se 0.000 0.038 0.250 (multiplicity 4)
4 Se 0.000 0.235 0.631 (multiplicity 8)
5 Se 0.000 0.500 0.000 (multiplicity 4)